# AcTb2Pr2Er2 PBE optimized geometry
# Space group: C2/m, No. 12
# Energy of formation from the pure elements (eV/f.u.): 0.29
data_AcTb2Pr2Er2
_cell_length_a 5.169
_cell_length_b 6.344
_cell_length_c 8.149
_cell_angle_alpha 97.65
_cell_angle_beta 90.00
_cell_angle_gamma 114.04
_symmetry_space_group_name_H-M 'P 1'
_symmetry_Int_Tables_number 1
_symmetry_space_group_name_Hall 'P 1'
loop_
_atom_site_label
_atom_site_type_symbol
_atom_site_fract_x
_atom_site_fract_y
_atom_site_fract_z
Ac1 Ac 0.000 0.000 0.000
Tb1 Tb 0.574 0.149 0.705
Er1 Er 0.142 0.284 0.434
Pr1 Pr 0.715 0.430 0.153
Er2 Er 0.858 0.716 0.566
Pr2 Pr 0.285 0.570 0.847
Tb2 Tb 0.426 0.851 0.295